VASP calculation (PBE) on a relaxed Sr2BiPdN crystal.

The structure in POSCAR format:
```
Sr2BiPdN
1.0
5.7280 0.0000 0.0000
0.0000 5.7280 0.0000
0.0000 0.0000 3.8853
Sr Bi Pd N
2 1 1 1
direct
0.0000 0.5000 0.0000
0.5000 0.0000 0.0000
0.0000 0.0000 0.5000
0.5000 0.5000 0.5000
0.5000 0.5000 0.0000
```

Computed properties:
SG: No. 123



VASP calculation (PBE) on a relaxed BiTePdN2 crystal.

The structure in POSCAR format:
```
BiTePdN2
1.0
4.2522 0.0000 0.0000
0.0000 4.2522 0.0000
0.0000 0.0000 5.5711
Bi Te Pd N
1 1 1 2
direct
0.0000 0.0000 0.0000
0.5000 0.5000 0.0000
0.5000 0.5000 0.5000
0.0000 0.5000 0.5000
0.5000 0.0000 0.5000
```

Computed properties:
SG: No. 123
Offset from the most stable computed form in meV/atom: 0



VASP calculation (PBE) on a relaxed BiTePdN2 crystal.

The structure in POSCAR format:
```
BiTePdN2
1.0
4.2875 0.0000 0.0000
0.0000 4.2875 0.0000
0.0000 0.0000 6.3908
Bi Te Pd N
1 1 1 2
direct
0.0000 0.0000 0.0000
0.0000 0.0000 0.5000
0.5000 0.5000 0.5000
0.0000 0.5000 0.0000
0.5000 0.0000 0.0000
```

Computed properties:
SG: No. 123
Offset from the most stable computed form in meV/atom: 265



| no. | uncorrected energy (eV/cell) | total magnetic moment (μB per atom) | calculated density (g cm⁻³) |
| --- | --- | --- | --- |
| 1 | -23.5 | 0.000 | 6.6 |
| 2 | -22.1 | 0.563 | 7.8 |
| 3 | -20.7 | 0.549 | 6.7 |